Computed, not measured: KNa2Co after structural relaxation at the PBE level of DFT.

```
8
Lattice="-2.4300 2.4300 11.7756 2.4300 -2.4300 11.7756 2.4300 2.4300 -11.7756" Properties=species:S:1:pos:R:3 pbc="T T T"
K 0.0000 0.0000 0.0000
K 0.0000 2.4300 5.8878
Na 1.2150 -1.0178 8.8317
Na 1.4122 1.2150 2.9439
Na 1.2150 3.4478 -2.9439
Na 1.0178 1.2150 14.7195
Co 2.4300 0.0000 5.8878
Co 0.0000 0.0000 11.7756
```

Results
- Total moment: 3.9 μB/cell
- Excess energy over the best structure of this formula in the dataset: 83 meV/atom
- Symmetry: I-42d (122)

***

Computed, not measured: K2NaCo after structural relaxation at the PBE level of DFT.

```
4
Lattice="0.0000 4.2467 4.2467 4.2467 0.0000 4.2467 4.2467 4.2467 0.0000" Properties=species:S:1:pos:R:3 pbc="T T T"
K 2.1234 2.1234 2.1234
K 6.3701 6.3701 6.3701
Na 0.0000 0.0000 0.0000
Co 4.2467 4.2467 4.2467
```

Results
- Total moment: 1.8 μB/cell
- Excess energy over the best structure of this formula in the dataset: 0 meV/atom
- Symmetry: Fm-3m (225)

***

Computed, not measured: K2NaCo after structural relaxation at the PBE level of DFT.

```
8
Lattice="-4.7981 4.7981 3.5304 4.7981 -4.7981 3.5304 4.7981 4.7981 -3.5304" Properties=species:S:1:pos:R:3 pbc="T T T"
K 2.3990 2.0009 -0.8826
K 2.7971 -2.3990 4.4131
K 2.3990 2.7971 2.6478
K 2.0009 7.1971 0.8826
Na 4.7981 0.0000 1.7652
Na 0.0000 0.0000 3.5304
Co 0.0000 0.0000 0.0000
Co 0.0000 4.7981 1.7652
```

Results
- Total moment: 3.7 μB/cell
- Excess energy over the best structure of this formula in the dataset: 55 meV/atom
- Symmetry: I-42d (122)

***

Computed, not measured: KNa2Co after structural relaxation at the PBE level of DFT.

```
4
Lattice="0.0000 3.9637 3.9637 3.9637 0.0000 3.9637 3.9637 3.9637 0.0000" Properties=species:S:1:pos:R:3 pbc="T T T"
K 0.0000 0.0000 0.0000
Na 1.9818 1.9818 1.9818
Na 5.9455 5.9455 5.9455
Co 3.9637 3.9637 3.9637
```

Results
- Total moment: 1.9 μB/cell
- Excess energy over the best structure of this formula in the dataset: 0 meV/atom
- Symmetry: Fm-3m (225)

***

Computed, not measured: KNaCo2 after structural relaxation at the PBE level of DFT.

```
8
Lattice="-2.2895 2.2895 10.3757 2.2895 -2.2895 10.3757 2.2895 2.2895 -10.3757" Properties=species:S:1:pos:R:3 pbc="T T T"
K 2.2895 1.1448 2.5939
K 0.0000 1.1448 7.7818
Na 2.2895 -1.1448 7.7818
Na 0.0000 3.4343 2.5939
Co 0.0000 0.0000 0.0000
Co 1.1448 1.1448 -5.1879
Co 1.1448 -1.1448 5.1879
Co 0.0000 2.2895 0.0000
```

Results
- Total moment: 6.6 μB/cell
- E: -3.091 eV/atom
- Symmetry: I4_1/amd (141)